(1)
The following is a PBE calculation of a geometry-optimized Dy2Be2Ge3 structure, from the Alexandria database.

Results
space group	Cmcm (63)
calculated density	7.459	Mg/m³
crystal system	orthorhombic
energy relative to the elements	-0.460	eV per atom

Geometry as POSCAR:
```
Dy2Be2Ge3
1.0
3.798 0.000 -0.906
0.000 6.859 0.000
0.263 0.000 9.523
Dy Ge Be
4 6 4
Direct
0.953 0.250 0.907 Dy
0.171 0.250 0.342 Dy
0.047 0.750 0.093 Dy
0.829 0.750 0.658 Dy
0.564 0.070 0.129 Ge
0.436 0.930 0.871 Ge
0.208 0.750 0.416 Ge
0.564 0.430 0.129 Ge
0.436 0.570 0.871 Ge
0.792 0.250 0.584 Ge
0.664 0.597 0.329 Be
0.336 0.403 0.671 Be
0.336 0.097 0.671 Be
0.664 0.903 0.329 Be
```

***

(2)
The following is a PBE calculation of a geometry-optimized ScTiSi2 structure, from the Alexandria database.

Results
electronic total energy	-26.3	eV per cell
space group	Fm-3m (225)
calculated density	3.718	Mg/m³
crystal system	cubic

Geometry as POSCAR:
```
ScTiSi2
1.0
-4.502 0.062 0.647
-2.247 3.955 -0.019
-2.780 1.020 -3.453
Si Sc Ti
2 1 1
Direct
0.250 0.250 0.250 Si
0.750 0.750 0.750 Si
0.000 0.000 0.000 Sc
0.500 0.500 0.500 Ti
```